Record 1
A plane-wave DFT calculation with GGA-PBE was carried out for ZrAl2Os after structural relaxation.

The space group is F-43m (No. 216) and the conventional cell measures 6.375, 6.375 and 6.375 Å, with angles of 90.00, 90.00 and 90.00 degrees. The distinct sites, in fractional coordinates, are Zr at (0.000, 0.000, 0.000), Al at (0.000, 0.000, 0.500), Al at (0.250, 0.250, 0.250) and Os at (0.250, 0.250, 0.750).

The calculation puts the volume at 16.2 Å³/atom. The raw total energy is -7.243 eV/atom.


Record 2
A plane-wave DFT calculation with GGA-PBE was carried out for SmAl3P3 after structural relaxation.

The space group is P6_3/mmc (No. 194) and the conventional cell measures 4.1909, 4.1909 and 18.1456 Å, with angles of 90.00, 90.00 and 120.00 degrees. The distinct sites, in fractional coordinates, are Sm at (0.0000, 0.0000, 0.0000), Al at (0.3333, 0.6667, 0.1183), Al at (0.3333, 0.6667, 0.7500), P at (0.3333, 0.6667, 0.2500) and P at (0.3333, 0.6667, 0.6002).

The calculation puts the volume at 19.7 Å³/atom. The raw total energy is -5.119 eV/atom.